1.
Material: RhSe2SBr
Method: DFT, PBE
State: optimized geometry

E: -15.28 eV per cell
N(E_F): 1.22 states/eV/atom
magnetic moment: 2.33 μB/cell
E above lowest polymorph: 352 meV/atom
ΔE_f (raw): 0.969 eV per atom

Cell lengths 4.8696, 4.8696, 4.8960 Å; angles 90.00, 90.00, 90.00 degrees
Space group P4/mmm (No. 123)
Inequivalent atoms, fractional coordinates:
Rh 0.0000 0.0000 0.0000
Se 0.0000 0.5000 0.5000
S 0.5000 0.5000 0.5000
Br 0.5000 0.5000 0.0000

=====

2.
Material: K2BaIr
Method: DFT, PBE
State: optimized geometry

ΔH_f (0 K): 321 meV per atom
E: -11.69 eV per cell
N(E_F): 0.56 states/eV/atom
magnetic moment: 0.40 μB/cell
E above lowest polymorph: 13 meV/atom

Cell lengths 3.9416, 3.9416, 11.5266 Å; angles 90.00, 90.00, 90.00 degrees
Space group P4mm (No. 99)
Inequivalent atoms, fractional coordinates:
K 0.0000 0.0000 0.0000
K 0.5000 0.5000 0.3529
Ba 0.0000 0.0000 0.6939
Ir 0.5000 0.5000 0.8215

=====

3.
Material: ScRePb4
Method: DFT, PBE
State: optimized geometry

ΔH_f (0 K): 1031 meV per atom
E: -109.72 eV per cell
N(E_F): 1.33 states/eV/atom
magnetic moment: 9.89 μB/cell

Cell lengths 8.8113, 8.8113, 8.8113 Å; angles 90.00, 90.00, 90.00 degrees
Space group F-43m (No. 216)
Inequivalent atoms, fractional coordinates:
Sc 0.0000 0.0000 0.0000
Re 0.2500 0.2500 0.2500
Pb 0.1249 0.1249 0.6249